No. 1
Here is a crystal of CaAl2Ru relaxed with PBEsol from Alexandria. Energies are from meta-GGA SCAN.

For the volume, the calculation gives 17.03 A^3/atom. For the size of the total moment, the calculation gives 0.0 μB per cell. The formation energy is 0.052 eV/atom.

It has space group Cmmm (No. 65), with a = 5.584 Å, b = 7.801 Å, c = 3.128 Å, α = 90.00°, β = 90.00° and γ = 90.00°. The asymmetric unit holds Ca at (0.000, 0.000, 0.000), Al at (0.250, 0.250, 0.500) and Ru at (0.000, 0.500, 0.000).

=====

No. 2
Here is a crystal of CaAl4Ru relaxed with PBEsol from Alexandria. Energies are from meta-GGA SCAN.

For the volume, the calculation gives 18.19 A^3/atom. For the size of the total moment, the calculation gives 0.0 μB per cell. The formation energy is -0.418 eV/atom.

It has space group Cmcm (No. 63), with a = 4.038 Å, b = 16.040 Å, c = 6.743 Å, α = 90.00°, β = 90.00° and γ = 90.00°. The asymmetric unit holds Ca at (0.000, 0.119, 0.250), Al at (0.000, 0.075, 0.750), Al at (0.000, 0.316, 0.053), Al at (0.000, 0.500, 0.000) and Ru at (0.000, 0.227, 0.750).

=====

No. 3
Here is a crystal of CaAl2Ru relaxed with PBEsol from Alexandria. Energies are from meta-GGA SCAN.

For the volume, the calculation gives 17.50 A^3/atom. For the size of the total moment, the calculation gives 0.0 μB per cell. The formation energy is -0.057 eV/atom.

It has space group Imm2 (No. 44), with a = 3.164 Å, b = 4.713 Å, c = 9.387 Å, α = 90.00°, β = 90.00° and γ = 90.00°. The asymmetric unit holds Ca at (0.000, 0.000, 0.000), Al at (0.000, 0.000, 0.455), Al at (0.000, 0.500, 0.213) and Ru at (0.000, 0.500, 0.752).

=====

No. 4
Here is a crystal of CaAlRu2 relaxed with PBEsol from Alexandria. Energies are from meta-GGA SCAN.

For the volume, the calculation gives 15.97 A^3/atom. For the size of the total moment, the calculation gives 0.0 μB per cell. The formation energy is -0.024 eV/atom.

It has space group Cm (No. 8), with a = 10.552 Å, b = 2.976 Å, c = 4.488 Å, α = 90.00°, β = 115.01° and γ = 90.00°. The asymmetric unit holds Ca at (0.000, 0.000, 0.000), Al at (0.281, 0.500, 0.283), Ru at (0.010, 0.500, 0.510) and Ru at (0.233, 0.000, 0.735).

=====

No. 5
Here is a crystal of CaAlRu2 relaxed with PBEsol from Alexandria. Energies are from meta-GGA SCAN.

For the volume, the calculation gives 15.96 A^3/atom. For the size of the total moment, the calculation gives 7.5 μB per cell. The formation energy is 0.176 eV/atom.

It has space group F-43m (No. 216), with a = 6.344 Å, b = 6.344 Å, c = 6.344 Å, α = 90.00°, β = 90.00° and γ = 90.00°. The asymmetric unit holds Ca at (0.000, 0.000, 0.000), Al at (0.250, 0.250, 0.750), Ru at (0.000, 0.000, 0.500) and Ru at (0.250, 0.250, 0.250).

=====

No. 6
Here is a crystal of CaAlRu3 relaxed with PBEsol from Alexandria. Energies are from meta-GGA SCAN.

For the volume, the calculation gives 18.08 A^3/atom. For the size of the total moment, the calculation gives 2.2 μB per cell. The formation energy is 0.650 eV/atom.

It has space group Pm-3m (No. 221), with a = 4.488 Å, b = 4.488 Å, c = 4.488 Å, α = 90.00°, β = 90.00° and γ = 90.00°. The asymmetric unit holds Ca at (0.000, 0.000, 0.000), Al at (0.500, 0.500, 0.500) and Ru at (0.000, 0.500, 0.500).

=====

No. 7
Here is a crystal of CaAl2Ru relaxed with PBEsol from Alexandria. Energies are from meta-GGA SCAN.

For the volume, the calculation gives 16.78 A^3/atom. For the size of the total moment, the calculation gives 0.0 μB per cell. The formation energy is -0.014 eV/atom.

It has space group F-43m (No. 216), with a = 6.451 Å, b = 6.451 Å, c = 6.451 Å, α = 90.00°, β = 90.00° and γ = 90.00°. The asymmetric unit holds Ca at (0.000, 0.000, 0.000), Al at (0.000, 0.000, 0.500), Al at (0.250, 0.250, 0.750) and Ru at (0.250, 0.250, 0.250).

=====

No. 8
Here is a crystal of CaAl2Ru relaxed with PBEsol from Alexandria. Energies are from meta-GGA SCAN.

For the volume, the calculation gives 17.76 A^3/atom. For the size of the total moment, the calculation gives 0.0 μB per cell. The formation energy is -0.554 eV/atom.

It has space group P4/mmm (No. 123), with a = 3.095 Å, b = 3.095 Å, c = 7.415 Å, α = 90.00°, β = 90.00° and γ = 90.00°. The asymmetric unit holds Ca at (0.000, 0.000, 0.000), Al at (0.500, 0.500, 0.317) and Ru at (0.000, 0.000, 0.500).

=====

No. 9
Here is a crystal of Ca2TaAlRu relaxed with PBEsol from Alexandria. Energies are from meta-GGA SCAN.

For the volume, the calculation gives 24.71 A^3/atom. For the size of the total moment, the calculation gives 3.0 μB per cell. The formation energy is 0.972 eV/atom.

It has space group P4/mmm (No. 123), with a = 5.136 Å, b = 5.136 Å, c = 4.683 Å, α = 90.00°, β = 90.00° and γ = 90.00°. The asymmetric unit holds Ca at (0.000, 0.500, 0.000), Ta at (0.000, 0.000, 0.500), Al at (0.500, 0.500, 0.500) and Ru at (0.500, 0.500, 0.000).

=====

No. 10
Here is a crystal of Ca3AlS relaxed with PBEsol from Alexandria. Energies are from meta-GGA SCAN.

For the volume, the calculation gives 29.41 A^3/atom. For the size of the total moment, the calculation gives 0.0 μB per cell. Its formation energy without anion corrections is -0.868 eV/atom.

It has space group Pm-3m (No. 221), with a = 5.278 Å, b = 5.278 Å, c = 5.278 Å, α = 90.00°, β = 90.00° and γ = 90.00°. The asymmetric unit holds Ca at (0.000, 0.000, 0.500), Al at (0.500, 0.500, 0.500) and S at (0.000, 0.000, 0.000).

=====

No. 11
Here is a crystal of CaAl2S4 relaxed with PBEsol from Alexandria. Energies are from meta-GGA SCAN.

For the volume, the calculation gives 21.18 A^3/atom. For the size of the total moment, the calculation gives 0.0 μB per cell. Its formation energy without anion corrections is -1.634 eV/atom.

It has space group Fddd (No. 70, origin choice 2), with a = 12.007 Å, b = 19.834 Å, c = 19.926 Å, α = 90.00°, β = 90.00° and γ = 90.00°. The asymmetric unit holds Ca at (0.125, 0.125, 0.125), Ca at (0.125, 0.125, 0.373), Ca at (0.125, 0.125, 0.625), Al at (0.084, 0.304, 0.250), Al at (0.123, 0.261, 0.751), S at (0.000, 0.094, 0.249), S at (0.001, 0.000, 0.586), S at (0.001, 0.000, 0.914) and S at (0.015, 0.082, 0.751).

=====

No. 12
Here is a crystal of CaAlS3 relaxed with PBEsol from Alexandria. Energies are from meta-GGA SCAN.

For the volume, the calculation gives 19.91 A^3/atom. For the size of the total moment, the calculation gives 0.0 μB per cell. Its formation energy without anion corrections is -1.167 eV/atom.

It has space group Pm-3m (No. 221), with a = 4.635 Å, b = 4.635 Å, c = 4.635 Å, α = 90.00°, β = 90.00° and γ = 90.00°. The asymmetric unit holds Ca at (0.000, 0.000, 0.000), Al at (0.500, 0.500, 0.500) and S at (0.000, 0.500, 0.500).

=====

No. 13
Here is a crystal of CaAl2TeS relaxed with PBEsol from Alexandria. Energies are from meta-GGA SCAN.

For the volume, the calculation gives 29.48 A^3/atom. For the size of the total moment, the calculation gives 0.0 μB per cell. Its formation energy without anion corrections is 0.374 eV/atom.

It has space group P4/mmm (No. 123), with a = 5.257 Å, b = 5.257 Å, c = 5.333 Å, α = 90.00°, β = 90.00° and γ = 90.00°. The asymmetric unit holds Ca at (0.000, 0.000, 0.000), Al at (0.000, 0.500, 0.500), Te at (0.500, 0.500, 0.500) and S at (0.500, 0.500, 0.000).

=====

No. 14
Here is a crystal of CaAlSb relaxed with PBEsol from Alexandria. Energies are from meta-GGA SCAN.

For the volume, the calculation gives 30.54 A^3/atom. For the size of the total moment, the calculation gives 0.9 μB per cell. Its formation energy without anion corrections is -0.125 eV/atom.

It has space group F-43m (No. 216), with a = 7.157 Å, b = 7.157 Å, c = 7.157 Å, α = 90.00°, β = 90.00° and γ = 90.00°. The asymmetric unit holds Ca at (0.000, 0.000, 0.000), Al at (0.000, 0.000, 0.500) and Sb at (0.250, 0.250, 0.750).

=====

No. 15
Here is a crystal of CaAlSb2 relaxed with PBEsol from Alexandria. Energies are from meta-GGA SCAN.

For the volume, the calculation gives 24.76 A^3/atom. For the size of the total moment, the calculation gives 0.0 μB per cell. Its formation energy without anion corrections is -0.307 eV/atom.

It has space group Cm (No. 8), with a = 10.802 Å, b = 3.992 Å, c = 4.814 Å, α = 90.00°, β = 107.43° and γ = 90.00°. The asymmetric unit holds Ca at (0.000, 0.000, 0.000), Al at (0.261, 0.500, 0.298), Sb at (0.238, 0.000, 0.721) and Sb at (0.485, 0.000, 0.485).

=====

No. 16
Here is a crystal of Ca3AlSb3 relaxed with PBEsol from Alexandria. Energies are from meta-GGA SCAN.

For the volume, the calculation gives 28.75 A^3/atom. For the size of the total moment, the calculation gives 0.0 μB per cell. Its formation energy without anion corrections is -0.921 eV/atom.

It has space group Pnma (No. 62), with a = 12.784 Å, b = 4.472 Å, c = 14.081 Å, α = 90.00°, β = 90.00° and γ = 90.00°. The asymmetric unit holds Ca at (0.058, 0.250, 0.113), Ca at (0.150, 0.750, 0.496), Ca at (0.227, 0.750, 0.779), Al at (0.068, 0.250, 0.703), Sb at (0.041, 0.250, 0.351), Sb at (0.115, 0.250, 0.892) and Sb at (0.242, 0.750, 0.118).

=====

No. 17
Here is a crystal of Ca11AlSb9 relaxed with PBEsol from Alexandria. Energies are from meta-GGA SCAN.

For the volume, the calculation gives 28.51 A^3/atom. For the size of the total moment, the calculation gives 0.0 μB per cell. Its formation energy without anion corrections is -1.070 eV/atom.

It has space group Iba2 (No. 45), with a = 11.693 Å, b = 12.330 Å, c = 16.612 Å, α = 90.00°, β = 90.00° and γ = 90.00°. The asymmetric unit holds Ca at (0.000, 0.000, 0.017), Ca at (0.071, 0.276, 0.000), Ca at (0.091, 0.273, 0.681), Ca at (0.162, 0.174, 0.340), Ca at (0.184, 0.441, 0.212), Ca at (0.184, 0.447, 0.469), Al at (0.000, 0.000, 0.235), Sb at (0.000, 0.500, 0.092), Sb at (0.036, 0.389, 0.838), Sb at (0.129, 0.115, 0.843), Sb at (0.146, 0.137, 0.152) and Sb at (0.178, 0.177, 0.523).

=====

No. 18
Here is a crystal of CaAlSb2 relaxed with PBEsol from Alexandria. Energies are from meta-GGA SCAN.

For the volume, the calculation gives 24.79 A^3/atom. For the size of the total moment, the calculation gives 0.0 μB per cell. Its formation energy without anion corrections is -0.295 eV/atom.

It has space group P4/mmm (No. 123), with a = 3.948 Å, b = 3.948 Å, c = 6.362 Å, α = 90.00°, β = 90.00° and γ = 90.00°. The asymmetric unit holds Ca at (0.000, 0.000, 0.000), Al at (0.000, 0.000, 0.500) and Sb at (0.500, 0.500, 0.265).

=====

No. 19
Here is a crystal of Ca2ScAl relaxed with PBEsol from Alexandria. Energies are from meta-GGA SCAN.

For the volume, the calculation gives 26.40 A^3/atom. For the size of the total moment, the calculation gives 0.0 μB per cell. The formation energy is 0.071 eV/atom.

It has space group I4/mmm (No. 139), with a = 4.710 Å, b = 4.710 Å, c = 9.518 Å, α = 90.00°, β = 90.00° and γ = 90.00°. The asymmetric unit holds Ca at (0.000, 0.500, 0.250), Sc at (0.000, 0.000, 0.000) and Al at (0.000, 0.000, 0.500).

=====

No. 20
Here is a crystal of CaScAl4 relaxed with PBEsol from Alexandria. Energies are from meta-GGA SCAN.

For the volume, the calculation gives 19.22 A^3/atom. For the size of the total moment, the calculation gives 0.4 μB per cell. The formation energy is -0.379 eV/atom.

It has space group F-43m (No. 216), with a = 7.726 Å, b = 7.726 Å, c = 7.726 Å, α = 90.00°, β = 90.00° and γ = 90.00°. The asymmetric unit holds Ca at (0.000, 0.000, 0.000), Sc at (0.250, 0.250, 0.750) and Al at (0.125, 0.125, 0.375).

=====

No. 21
Here is a crystal of Ca2ScAl relaxed with PBEsol from Alexandria. Energies are from meta-GGA SCAN.

For the volume, the calculation gives 25.96 A^3/atom. For the size of the total moment, the calculation gives 0.0 μB per cell. The formation energy is 0.041 eV/atom.

It has space group F-43m (No. 216), with a = 7.461 Å, b = 7.461 Å, c = 7.461 Å, α = 90.00°, β = 90.00° and γ = 90.00°. The asymmetric unit holds Ca at (0.000, 0.000, 0.000), Ca at (0.250, 0.250, 0.250), Sc at (0.000, 0.000, 0.500) and Al at (0.250, 0.250, 0.750).

=====

No. 22
Here is a crystal of CaSc4Al relaxed with PBEsol from Alexandria. Energies are from meta-GGA SCAN.

For the volume, the calculation gives 24.51 A^3/atom. For the size of the total moment, the calculation gives 0.0 μB per cell. The formation energy is 0.256 eV/atom.

It has space group F-43m (No. 216), with a = 8.379 Å, b = 8.379 Å, c = 8.379 Å, α = 90.00°, β = 90.00° and γ = 90.00°. The asymmetric unit holds Ca at (0.000, 0.000, 0.000), Sc at (0.124, 0.124, 0.376) and Al at (0.250, 0.250, 0.750).

=====

No. 23
Here is a crystal of Ca2ScAl relaxed with PBEsol from Alexandria. Energies are from meta-GGA SCAN.

For the volume, the calculation gives 27.74 A^3/atom. For the size of the total moment, the calculation gives 1.0 μB per cell. The formation energy is 0.046 eV/atom.

It has space group P4/mmm (No. 123), with a = 3.420 Å, b = 3.420 Å, c = 9.487 Å, α = 90.00°, β = 90.00° and γ = 90.00°. The asymmetric unit holds Ca at (0.000, 0.000, 0.219), Sc at (0.500, 0.500, 0.500) and Al at (0.500, 0.500, 0.000).